No. 1
# TcCl3 | Alexandria via LeMat-Bulk | PBE-GGA | relaxed
# - Formation energy from raw total energies: 0.15 eV per atom
# - Magnetization: 3.27 Bohr magnetons per cell
# - D(E_F): 2.90 states/eV/cell
data_TcCl3
_symmetry_space_group_name_H-M 'P -6 m 2'
_symmetry_Int_Tables_number 187
_symmetry_space_group_name_Hall 'P -6 2'
_cell_length_a 3.3355
_cell_length_b 3.3355
_cell_length_c 9.0611
_cell_angle_alpha 90.00
_cell_angle_beta 90.00
_cell_angle_gamma 120.00
loop_
_atom_site_label
_atom_site_type_symbol
_atom_site_fract_x
_atom_site_fract_y
_atom_site_fract_z
_atom_site_occupancy
Tc1 Tc 0.0000 0.0000 0.0000 1
Cl1 Cl 0.0000 0.0000 0.5000 1
Cl2 Cl 0.3333 0.6667 0.1772 1

No. 2
# La5AgPt2 | Alexandria via LeMat-Bulk | PBE-GGA | relaxed
# - Energy of formation: -5.42 eV/f.u.
# - Magnetization: 0.00 Bohr magnetons per cell
# - D(E_F): 40.55 states/eV/cell
data_La5AgPt2
_symmetry_space_group_name_H-M 'I 4/m c m'
_symmetry_Int_Tables_number 140
_symmetry_space_group_name_Hall '-I 4 2c'
_cell_length_a 8.192
_cell_length_b 8.192
_cell_length_c 13.941
_cell_angle_alpha 90.00
_cell_angle_beta 90.00
_cell_angle_gamma 90.00
loop_
_atom_site_label
_atom_site_type_symbol
_atom_site_fract_x
_atom_site_fract_y
_atom_site_fract_z
_atom_site_occupancy
La1 La 0.000 0.000 0.000 1
La2 La 0.161 0.339 0.138 1
Ag1 Ag 0.000 0.000 0.250 1
Pt1 Pt 0.135 0.365 0.500 1